DFT (SCAN) results for KMn2Pt at its PBEsol-relaxed geometry.

Summary:
The value obtained for the energy of formation from the pure elements is 1.47 eV per formula unit. The value obtained for the density of states at the Fermi level is 3.96 states/eV/cell. Its volume is 139.4 Å³/cell.

Cell: 5.846 9.395 2.775 Å, 90.00 113.87 90.00°
Space group C2/m (No. 12)
One atom of each set of equivalent atoms:
K1 0.000 0.000 0.000
Mn1 0.250 0.250 0.500
Pt1 0.000 0.500 0.000